! NdSc2Ag3 PBE optimized geometry; values from VASP
! * formation energy from the elements: -0.263 eV/atom
! * DOS at the Fermi energy: 3.4 states/eV per cell
! * crystal system: tetragonal
! * total energy: -4.593 eV per atom
! * magnetic moment: 0.00 μB/f.u.
&SYSTEM
  ibrav = 0, nat = 6, ntyp = 3
/
ATOMIC_SPECIES
Nd 144.24 Nd.upf
Sc 44.96 Sc.upf
Ag 107.87 Ag.upf
CELL_PARAMETERS angstrom
3.496 0.000 0.000
0.000 3.496 0.000
0.000 0.000 10.854
ATOMIC_POSITIONS crystal
Nd 0.000 0.000 0.000
Sc 0.000 0.000 0.343
Sc 0.000 0.000 0.657
Ag 0.500 0.500 0.198
Ag 0.500 0.500 0.500
Ag 0.500 0.500 0.802